(1)
GGA-PBE TbPm2Sn, optimized geometry; total DFT energy (no corrections) = -18.14 eV per formula unit; theoretical density = 7.4 g cm⁻³; energy of formation = -2 meV per atom
1.0
3.508 0.000 0.000
1.754 3.038 0.000
1.754 1.013 12.027
Sn Tb Pm
1 1 2
direct
0.500 0.500 0.500
0.000 0.000 0.000
0.094 0.094 0.719
0.906 0.906 0.281

(2)
GGA-PBE LiVIr, optimized geometry; total DFT energy (no corrections) = -20.46 eV per formula unit; theoretical density = 10.5 g cm⁻³; energy of formation = -190 meV per atom
1.0
-2.037 0.604 1.635
2.057 -1.654 3.175
0.464 4.003 -0.901
Ir Li V
1 1 1
direct
0.982 0.000 0.000
0.343 0.667 0.333
0.676 0.333 0.667

(3)
GGA-PBE YMnAsBr2, optimized geometry; total DFT energy (no corrections) = -24.96 eV per formula unit; ΔE_f (raw) = -0.267 eV per atom; theoretical density = 3.7 g cm⁻³
1.0
5.425 0.000 0.000
0.000 5.425 0.000
0.000 0.000 5.786
Y Br As Mn
1 2 1 1
direct
0.000 0.000 0.000
0.500 0.000 0.000
0.000 0.500 0.000
0.000 0.000 0.500
0.500 0.500 0.500

(4)
GGA-PBE BaZn4Se, optimized geometry; total DFT energy (no corrections) = -11.48 eV per formula unit; ΔE_f (raw) = -0.162 eV per atom; theoretical density = 5.7 g cm⁻³
1.0
0.000 4.108 4.108
4.108 0.000 4.108
4.108 4.108 0.000
Zn Se Ba
4 1 1
direct
0.371 0.886 0.371
0.371 0.371 0.371
0.886 0.371 0.371
0.371 0.371 0.886
0.000 0.000 0.000
0.750 0.750 0.750

(5)
GGA-PBE CsBa2SrCd, optimized geometry; total DFT energy (no corrections) = -7.31 eV per formula unit; theoretical density = 3.1 g cm⁻³; energy of formation = -3 meV per atom
1.0
-0.393 -6.679 -1.688
-1.677 -1.547 6.512
-6.521 0.763 -1.498
Ba Cd Cs Sr
2 1 1 1
direct
0.500 0.000 0.000
0.000 0.500 0.000
0.000 0.000 0.000
0.500 0.500 0.500
0.000 0.000 0.500

(6)
GGA-PBE Zn2Ru2W, optimized geometry; total DFT energy (no corrections) = -32.77 eV per formula unit; theoretical density = 11.3 g cm⁻³; energy of formation = 257 meV per atom
1.0
5.208 -3.713 3.915
1.141 -5.717 4.718
-2.834 3.306 -6.106
Zn Ru W
2 2 1
direct
0.750 0.250 0.500
0.250 0.750 0.500
0.402 0.402 0.000
0.598 0.598 0.000
0.000 0.000 0.000

(7)
GGA-PBE NaTb2F8, optimized geometry; total DFT energy (no corrections) = -63.63 eV per formula unit; ΔE_f (raw) = -3.462 eV per atom; theoretical density = 5.8 g cm⁻³
1.0
3.739 0.000 0.000
0.000 5.707 -0.053
-1.870 -2.507 6.614
F Na Tb
8 1 2
direct
0.680 0.959 0.360
0.600 0.456 0.200
0.320 0.041 0.640
0.785 0.669 0.569
0.966 0.227 0.933
0.215 0.331 0.431
0.400 0.544 0.800
0.034 0.773 0.067
0.500 0.000 0.000
0.175 0.686 0.349
0.825 0.314 0.651

(8)
GGA-PBE DyHo5Tm3, optimized geometry; total DFT energy (no corrections) = -36.38 eV per formula unit; theoretical density = 8.0 g cm⁻³; energy of formation = 503 meV per atom
1.0
8.915 1.269 0.928
3.661 8.227 0.928
4.942 3.732 9.806
Dy Ho Tm
2 10 6
direct
0.135 0.135 0.649
0.865 0.865 0.351
0.443 0.443 0.401
0.934 0.295 0.173
0.653 0.653 0.030
0.066 0.705 0.827
0.682 0.318 0.000
0.705 0.066 0.827
0.318 0.682 0.000
0.295 0.934 0.173
0.557 0.557 0.599
0.347 0.347 0.970
0.746 0.746 0.195
0.000 0.000 0.000
0.254 0.254 0.805
0.273 0.273 0.293
0.727 0.727 0.707
0.000 0.000 0.500